[1]
Na2TlH6 | PBE-GGA | relaxed

## Properties
SG   Fm-3m
M_tot   0.00 μB/f.u.
Density of states at the Fermi level   2.1 states/eV/cell
Uncorrected energy   -2.42 eV/atom

Lattice parameters (Å, degrees): 5.193 5.193 5.193 60.00 60.00 60.00
Atoms (fractional coordinates):
1 Na 0.250 0.250 0.250
2 Na 0.750 0.750 0.750
3 Tl 0.000 0.000 0.000
4 H 0.268 0.268 0.732
5 H 0.268 0.732 0.268
6 H 0.268 0.732 0.732
7 H 0.732 0.268 0.268
8 H 0.732 0.268 0.732
9 H 0.732 0.732 0.268

***

[2]
NaTl2H4 | PBE-GGA | relaxed

## Properties
SG   I4/mmm
M_tot   0.00 μB/f.u.
Density of states at the Fermi level   1.5 states/eV/cell
Uncorrected energy   -2.38 eV/atom

Lattice parameters (Å, degrees): 6.885 6.885 6.885 144.96 144.96 50.39
Atoms (fractional coordinates):
1 Na 0.000 0.000 0.000
2 Tl 0.363 0.363 0.000
3 Tl 0.637 0.637 0.000
4 H 0.000 0.500 0.500
5 H 0.191 0.191 0.000
6 H 0.500 0.000 0.500
7 H 0.809 0.809 0.000

***

[3]
Na2TlH2 | PBE-GGA | relaxed

## Properties
SG   P4/mbm
M_tot   0.00 μB/f.u.
Density of states at the Fermi level   1.5 states/eV/cell
Energy above the lowest structure with this stoichiometry   0.0 meV per atom

Lattice parameters (Å, degrees): 7.034 7.034 3.572 90.00 90.00 90.00
Atoms (fractional coordinates):
1 Na 0.155 0.345 0.000
2 Na 0.345 0.845 0.000
3 Na 0.655 0.155 0.000
4 Na 0.845 0.655 0.000
5 Tl 0.000 0.000 0.500
6 Tl 0.500 0.500 0.500
7 H 0.155 0.655 0.500
8 H 0.345 0.155 0.500
9 H 0.655 0.845 0.500
10 H 0.845 0.345 0.500

***

[4]
Na2TlH | PBE-GGA | relaxed

## Properties
SG   R-3m
M_tot   0.00 μB/f.u.
Density of states at the Fermi level   1.6 states/eV/cell
Energy above the lowest structure with this stoichiometry   79.4 meV per atom

Lattice parameters (Å, degrees): 9.278 9.278 9.278 21.34 21.34 21.34
Atoms (fractional coordinates):
1 Na 0.114 0.114 0.114
2 Na 0.886 0.886 0.886
3 Tl 0.000 0.000 0.000
4 H 0.500 0.500 0.500

***

[5]
Na2TlH | PBE-GGA | relaxed

## Properties
SG   Fm-3m
M_tot   0.00 μB/f.u.
Density of states at the Fermi level   2.6 states/eV/cell
Energy above the lowest structure with this stoichiometry   427.5 meV per atom

Lattice parameters (Å, degrees): 5.159 5.159 5.159 60.00 60.00 60.00
Atoms (fractional coordinates):
1 Na 0.250 0.250 0.250
2 Na 0.750 0.750 0.750
3 Tl 0.000 0.000 0.000
4 H 0.500 0.500 0.500

***

[6]
Na2TlH | PBE-GGA | relaxed

## Properties
SG   R3m
M_tot   0.00 μB/f.u.
Density of states at the Fermi level   1.0 states/eV/cell
Energy above the lowest structure with this stoichiometry   0.0 meV per atom

Lattice parameters (Å, degrees): 8.465 8.465 8.465 23.69 23.69 23.69
Atoms (fractional coordinates):
1 Na 0.000 0.000 0.000
2 Na 0.218 0.218 0.218
3 Tl 0.776 0.776 0.776
4 H 0.609 0.609 0.609

***

[7]
Na3TlH | PBE-GGA | relaxed

## Properties
SG   Pm-3m
M_tot   0.00 μB/f.u.
Density of states at the Fermi level   1.6 states/eV/cell
Uncorrected energy   -1.99 eV/atom

Lattice parameters (Å, degrees): 4.855 4.855 4.855 90.00 90.00 90.00
Atoms (fractional coordinates):
1 Na 0.000 0.000 0.500
2 Na 0.000 0.500 0.000
3 Na 0.500 0.000 0.000
4 Tl 0.500 0.500 0.500
5 H 0.000 0.000 0.000

***

[8]
Na2TlH | PBE-GGA | relaxed

## Properties
SG   I-42d
M_tot   0.00 μB/f.u.
Density of states at the Fermi level   0.9 states/eV/cell
Energy above the lowest structure with this stoichiometry   101.4 meV per atom

Lattice parameters (Å, degrees): 6.396 6.396 6.396 117.42 117.42 94.52
Atoms (fractional coordinates):
1 Na 0.375 0.231 0.356
2 Na 0.769 0.125 0.144
3 Na 0.875 0.019 0.644
4 Na 0.981 0.625 0.856
5 Tl 0.250 0.750 0.500
6 Tl 0.500 0.500 0.000
7 H 0.000 0.000 0.000
8 H 0.750 0.250 0.500